(1)
Here is a geometry-optimized NdLuMgSc structure from the Alexandria database. Energies are from PBE.

* raw total energy: -4.271 eV/atom
* formation enthalpy at 0 K: 32 meV per atom

Unit cell a=7.6388 b=7.6388 c=7.6388 alpha=90.00 beta=90.00 gamma=90.00
Space group F-43m (No. 216)
Unique sites:
Nd 0.0000 0.0000 0.0000 x4
Lu 0.0000 0.0000 0.5000 x4
Mg 0.2500 0.2500 0.7500 x4
Sc 0.2500 0.2500 0.2500 x4

---

(2)
Here is a geometry-optimized CaHg3Pd structure from the Alexandria database. Energies are from PBE.

* raw total energy: -1.975 eV/atom
* excess energy over the best structure of this formula in the dataset: 13.4 meV/atom
* formation enthalpy at 0 K: -355 meV per atom

Unit cell a=6.4898 b=4.8743 c=7.2439 alpha=90.00 beta=94.68 gamma=90.00
Space group P2_1/m (No. 11)
Unique sites:
Ca 0.2335 0.2500 0.2346 x2
Hg 0.1713 0.7500 0.5298 x2
Hg 0.2746 0.7500 0.9440 x2
Hg 0.4430 0.2500 0.6873 x2
Pd 0.0528 0.2500 0.8238 x2

---

(3)
Here is a geometry-optimized Ba2AgSn structure from the Alexandria database. Energies are from PBE.

* raw total energy: -3.106 eV/atom
* formation enthalpy at 0 K: -431 meV per atom

Unit cell a=6.0695 b=6.0695 c=4.0508 alpha=90.00 beta=90.00 gamma=90.00
Space group P4/mmm (No. 123)
Unique sites:
Ba 0.0000 0.5000 0.0000 x2
Ag 0.0000 0.0000 0.5000 x1
Sn 0.5000 0.5000 0.5000 x1

---

(4)
Here is a geometry-optimized BaCdSi2 structure from the Alexandria database. Energies are from PBE.

* raw total energy: -3.182 eV/atom
* uncorrected formation energy: 239 meV/atom

Unit cell a=6.7094 b=6.7252 c=4.5162 alpha=90.00 beta=90.25 gamma=90.00
Space group C2/m (No. 12)
Unique sites:
Ba 0.0000 0.0000 0.0000 x2
Cd 0.0000 0.5000 0.0000 x2
Si 0.2500 0.2500 0.5000 x4

---

(5)
Here is a geometry-optimized ZrAl3Ni2 structure from the Alexandria database. Energies are from PBE.

* raw total energy: -5.807 eV/atom
* excess energy over the best structure of this formula in the dataset: 0.0 meV/atom
* formation enthalpy at 0 K: -584 meV per atom

Unit cell a=5.1161 b=5.1161 c=3.9450 alpha=90.00 beta=90.00 gamma=120.00
Space group P6/mmm (No. 191)
Unique sites:
Zr 0.0000 0.0000 0.0000 x1
Al 0.0000 0.5000 0.5000 x3
Ni 0.3333 0.6667 0.0000 x2

---

(6)
Here is a geometry-optimized Ce3Nd structure from the Alexandria database. Energies are from PBE.

* raw total energy: -5.493 eV/atom
* excess energy over the best structure of this formula in the dataset: 40.5 meV/atom
* formation enthalpy at 0 K: 149 meV per atom

Unit cell a=3.3898 b=11.4624 c=5.9957 alpha=90.00 beta=90.00 gamma=90.00
Space group Imm2 (No. 44)
Unique sites:
Ce 0.0000 0.0000 0.0000 x2
Ce 0.0000 0.2649 0.6145 x4
Nd 0.0000 0.5000 0.0126 x2

---

(7)
Here is a geometry-optimized FeNi2AgC structure from the Alexandria database. Energies are from PBE.

* raw total energy: -6.221 eV/atom
* formation enthalpy at 0 K: 199 meV per atom

Unit cell a=3.8669 b=3.8669 c=3.8170 alpha=90.00 beta=90.00 gamma=90.00
Space group P4/mmm (No. 123)
Unique sites:
Fe 0.0000 0.0000 0.0000 x1
Ni 0.0000 0.5000 0.5000 x2
Ag 0.5000 0.5000 0.0000 x1
C 0.0000 0.0000 0.5000 x1

---

(8)
Here is a geometry-optimized TbPuP2O8 structure from the Alexandria database. Energies are from PBE.

* raw total energy: -8.551 eV/atom
* uncorrected formation energy: -2764 meV/atom

Unit cell a=5.2877 b=5.2877 c=7.1355 alpha=90.00 beta=90.00 gamma=120.00
Space group P-3m1 (No. 164)
Unique sites:
Tb 0.0000 0.0000 0.0000 x1
Pu 0.0000 0.0000 0.5000 x1
P 0.3333 0.6667 0.2995 x2
O 0.1739 0.3477 0.2240 x6
O 0.3333 0.6667 0.5133 x2

---

(9)
Here is a geometry-optimized Na2NbPtN structure from the Alexandria database. Energies are from PBE.

* raw total energy: -4.466 eV/atom
* uncorrected formation energy: 948 meV/atom

Unit cell a=5.8592 b=5.8592 c=3.8488 alpha=90.00 beta=90.00 gamma=90.00
Space group P4/mmm (No. 123)
Unique sites:
Na 0.0000 0.5000 0.0000 x2
Nb 0.0000 0.0000 0.0000 x1
Pt 0.5000 0.5000 0.5000 x1
N 0.0000 0.0000 0.5000 x1

---

(10)
Here is a geometry-optimized Dy3Si3Pd2 structure from the Alexandria database. Energies are from PBE.

* raw total energy: -5.944 eV/atom
* excess energy over the best structure of this formula in the dataset: 66.6 meV/atom
* uncorrected formation energy: -887 meV/atom

Unit cell a=7.8886 b=14.2111 c=5.7162 alpha=90.00 beta=90.00 gamma=90.00
Space group Pnma (No. 62)
Unique sites:
Dy 0.0389 0.1102 0.1330 x8
Dy 0.1869 0.2500 0.6190 x4
Si 0.1740 0.7500 0.6056 x4
Si 0.1977 0.0410 0.6053 x8
Pd 0.0928 0.6007 0.3770 x8

---

(11)
Here is a geometry-optimized SmHoCdAu structure from the Alexandria database. Energies are from PBE.

* raw total energy: -3.914 eV/atom
* excess energy over the best structure of this formula in the dataset: 32.7 meV/atom
* formation enthalpy at 0 K: -542 meV per atom

Unit cell a=7.3911 b=7.3911 c=7.3911 alpha=90.00 beta=90.00 gamma=90.00
Space group F-43m (No. 216)
Unique sites:
Sm 0.0000 0.0000 0.0000 x4
Ho 0.0000 0.0000 0.5000 x4
Cd 0.2500 0.2500 0.2500 x4
Au 0.2500 0.2500 0.7500 x4

---

(12)
Here is a geometry-optimized ErTm5Sb6 structure from the Alexandria database. Energies are from PBE.

* raw total energy: -5.377 eV/atom
* uncorrected formation energy: -1072 meV/atom

Unit cell a=7.5182 b=13.0191 c=7.5147 alpha=90.00 beta=109.47 gamma=90.00
Space group C2/m (No. 12)
Unique sites:
Er 0.0000 0.0000 0.0000 x2
Tm 0.0000 0.1663 0.5000 x4
Tm 0.0000 0.3331 0.0000 x4
Tm 0.0000 0.5000 0.5000 x2
Sb 0.2494 0.3330 0.7494 x8
Sb 0.2492 0.5000 0.2501 x4

---

(13)
Here is a geometry-optimized MnWAu2 structure from the Alexandria database. Energies are from PBE.

* raw total energy: -6.886 eV/atom
* excess energy over the best structure of this formula in the dataset: 91.4 meV/atom
* formation enthalpy at 0 K: 283 meV per atom

Unit cell a=9.3101 b=2.8440 c=5.0192 alpha=90.00 beta=100.12 gamma=90.00
Space group Cm (No. 8)
Unique sites:
Mn 0.0000 0.0000 0.0000 x2
W 0.2386 0.5000 0.2384 x2
Au 0.2497 0.0000 0.7522 x2
Au 0.4902 0.0000 0.4786 x2

---

(14)
Here is a geometry-optimized CsRb6Tl structure from the Alexandria database. Energies are from PBE.

* raw total energy: -1.085 eV/atom
* formation enthalpy at 0 K: 43 meV per atom

Unit cell a=17.4280 b=9.2919 c=8.9487 alpha=90.00 beta=118.24 gamma=90.00
Space group C2/m (No. 12)
Unique sites:
Cs 0.0000 0.0000 0.0000 x2
Rb 0.0067 0.5000 0.2524 x4
Rb 0.2108 0.2317 0.7144 x8
Tl 0.0000 0.0000 0.5000 x2

---

(15)
Here is a geometry-optimized CoAs2AuS structure from the Alexandria database. Energies are from PBE.

* raw total energy: -4.248 eV/atom
* uncorrected formation energy: 514 meV/atom

Unit cell a=4.3694 b=4.3694 c=5.0821 alpha=90.00 beta=90.00 gamma=90.00
Space group P4/mmm (No. 123)
Unique sites:
Co 0.0000 0.0000 0.0000 x1
As 0.0000 0.5000 0.0000 x2
Au 0.0000 0.0000 0.5000 x1
S 0.5000 0.5000 0.5000 x1

---

(16)
Here is a geometry-optimized YTl2Cl structure from the Alexandria database. Energies are from PBE.

* raw total energy: -3.769 eV/atom
* excess energy over the best structure of this formula in the dataset: 236.3 meV/atom
* uncorrected formation energy: -508 meV/atom

Unit cell a=3.6769 b=6.1132 c=5.3408 alpha=90.00 beta=90.33 gamma=90.00
Space group P2/m (No. 10)
Unique sites:
Y 0.0000 0.0000 0.0000 x1
Tl 0.2950 0.5000 0.2418 x2
Cl 0.0000 0.0000 0.5000 x1

---

(17)
Here is a geometry-optimized DyBi3Se6 structure from the Alexandria database. Energies are from PBE.

* raw total energy: -4.455 eV/atom
* uncorrected formation energy: -740 meV/atom

Unit cell a=12.1933 b=4.1284 c=12.2741 alpha=90.00 beta=107.55 gamma=90.00
Space group P2_1/m (No. 11)
Unique sites:
Dy 0.1878 0.2500 0.0374 x2
Bi 0.0263 0.7500 0.2987 x2
Bi 0.3367 0.2500 0.4314 x2
Bi 0.4047 0.7500 0.8493 x2
Se 0.0350 0.7500 0.9008 x2
Se 0.1162 0.2500 0.4652 x2
Se 0.2254 0.7500 0.2304 x2
Se 0.2428 0.2500 0.8098 x2
Se 0.3847 0.7500 0.0701 x2
Se 0.4156 0.7500 0.5935 x2

---

(18)
Here is a geometry-optimized LaMgZnIr structure from the Alexandria database. Energies are from PBE.

* raw total energy: -4.480 eV/atom
* formation enthalpy at 0 K: -316 meV per atom

Unit cell a=6.9407 b=6.9407 c=6.9407 alpha=90.00 beta=90.00 gamma=90.00
Space group F-43m (No. 216)
Unique sites:
La 0.0000 0.0000 0.0000 x4
Mg 0.0000 0.0000 0.5000 x4
Zn 0.2500 0.2500 0.2500 x4
Ir 0.2500 0.2500 0.7500 x4

---

(19)
Here is a geometry-optimized ZrPaTi2 structure from the Alexandria database. Energies are from PBE.

* raw total energy: -8.366 eV/atom
* excess energy over the best structure of this formula in the dataset: 1.4 meV/atom
* formation enthalpy at 0 K: 93 meV per atom

Unit cell a=3.0780 b=3.0780 c=30.2121 alpha=90.00 beta=90.00 gamma=120.00
Space group R3m (No. 160, hexagonal axes)
Unique sites:
Zr 0.0000 0.0000 0.0000 x3
Pa 0.0000 0.0000 0.1665 x3
Ti 0.0000 0.0000 0.4160 x3
Ti 0.0000 0.0000 0.5840 x3

---

(20)
Here is a geometry-optimized YOs2Au structure from the Alexandria database. Energies are from PBE.

* raw total energy: -7.651 eV/atom
* excess energy over the best structure of this formula in the dataset: 330.1 meV/atom
* formation enthalpy at 0 K: 399 meV per atom

Unit cell a=4.1472 b=4.1472 c=19.6715 alpha=90.00 beta=90.00 gamma=90.00
Space group I-42d (No. 122)
Unique sites:
Y 0.0000 0.0000 0.0000 x4
Os 0.1458 0.2500 0.6250 x8
Au 0.0000 0.0000 0.5000 x4

---

(21)
Here is a geometry-optimized Dy2MnSe structure from the Alexandria database. Energies are from PBE.

* raw total energy: -5.624 eV/atom
* uncorrected formation energy: -160 meV/atom

Unit cell a=3.6604 b=3.6604 c=28.0366 alpha=90.00 beta=90.00 gamma=120.00
Space group R-3m (No. 166, hexagonal axes)
Unique sites:
Dy 0.0000 0.0000 0.0997 x6
Mn 0.0000 0.0000 0.0000 x3
Se 0.0000 0.0000 0.5000 x3

---

(22)
Here is a geometry-optimized K4SiW2 structure from the Alexandria database. Energies are from PBE.

* raw total energy: -3.590 eV/atom
* uncorrected formation energy: 1513 meV/atom

Unit cell a=6.8105 b=6.8105 c=15.9274 alpha=90.00 beta=90.00 gamma=90.00
Space group I4/mmm (No. 139)
Unique sites:
K 0.0000 0.0000 0.2033 x4
K 0.0000 0.5000 0.0000 x4
Si 0.0000 0.0000 0.0000 x2
W 0.0000 0.0000 0.4344 x4

---

(23)
Here is a geometry-optimized HoPuPa2S4 structure from the Alexandria database. Energies are from PBE.

* raw total energy: -8.531 eV/atom
* uncorrected formation energy: -1730 meV/atom

Unit cell a=6.6366 b=3.8330 c=6.9506 alpha=90.00 beta=108.58 gamma=90.00
Space group P2/m (No. 10)
Unique sites:
Ho 0.0000 0.0000 0.0000 x1
Pu 0.5000 0.5000 0.0000 x1
Pa 0.0000 0.5000 0.5000 x1
Pa 0.5000 0.0000 0.5000 x1
S 0.2463 0.5000 0.2448 x2
S 0.2500 0.0000 0.7545 x2

---

(24)
Here is a geometry-optimized Dy6Cu5Rh structure from the Alexandria database. Energies are from PBE.

* raw total energy: -4.981 eV/atom
* formation enthalpy at 0 K: -360 meV per atom

Unit cell a=4.8903 b=14.6983 c=6.9372 alpha=90.00 beta=90.00 gamma=90.00
Space group Cmmm (No. 65)
Unique sites:
Dy 0.0000 0.0000 0.2458 x4
Dy 0.0000 0.3354 0.2487 x8
Cu 0.0000 0.1644 0.5000 x4
Cu 0.0000 0.1703 0.0000 x4
Cu 0.0000 0.5000 0.5000 x2
Rh 0.0000 0.5000 0.0000 x2

---

The calculation returns the following density values, one per record and in order: 5.8; 10.9; 5.6; 5.0; 5.4; 8.0; 8.5; 5.7; 4.4; 8.1; 10.3; 8.3; 16.1; 2.2; 7.5; 7.4; 7.1; 8.4; 8.4; 13.1; 7.0; 2.5; 9.9; 9.3 g/cm³.